# 1
## ZrSCl6O (GGA-PBE)

Data for crystalline ZrSCl6O at its relaxed geometry.

Calculated values
Calculated density (g/cm3): 1.90
Energy relative to the elements, uncorrected (eV/atom): -1.256
Crystal system: monoclinic
Total magnetic moment (μB per formula unit): 0.00
Density of states at the Fermi level (states/eV per cell): 0.0

```
ZrSCl6O
1.0
7.505 0.000 0.000
0.000 24.748 0.000
-3.239 0.000 6.629
Zr S Cl O
4 4 24 4
Cartesian
1.112 1.694 0.194
-0.508 10.680 3.508
4.774 14.068 3.121
3.154 23.054 6.435
-0.396 15.542 5.724
1.224 21.579 2.409
3.043 3.168 4.220
4.662 9.206 0.905
-0.653 12.873 2.081
-2.273 24.249 5.395
0.540 3.668 1.387
-1.080 8.706 4.702
1.412 16.238 0.415
-0.208 20.884 3.729
-0.524 2.554 5.295
1.096 9.820 1.981
0.098 17.342 4.816
1.717 19.780 1.501
2.624 0.751 1.751
1.004 11.623 5.065
3.262 13.125 1.563
1.642 23.997 4.878
2.549 4.968 5.128
4.168 7.406 1.813
3.170 14.928 4.648
4.790 22.194 1.334
4.474 3.864 2.900
2.854 8.510 6.214
5.346 16.042 1.927
3.726 21.080 5.242
6.539 0.499 1.234
4.919 11.875 4.548
-1.096 14.733 4.715
0.523 22.389 1.400
3.743 2.359 5.229
5.363 10.015 1.914
```

# 2
## Pa2Bi2C (GGA-PBE)

Data for crystalline Pa2Bi2C at its relaxed geometry.

Calculated values
Calculated density (g/cm3): 10.53
Crystal system: tetragonal
Total magnetic moment (μB per formula unit): 0.00
Density of states at the Fermi level (states/eV per cell): 13.2
Total DFT energy (no corrections) (eV/atom): -7.2446

```
Pa2Bi2C
1.0
-1.778 1.778 22.243
1.778 -1.778 22.243
1.778 1.778 -22.243
Pa Bi C
4 4 2
Cartesian
1.778 0.889 -6.984
0.000 0.889 4.138
1.778 0.889 18.105
0.000 0.889 29.227
1.778 0.889 -1.786
0.000 0.889 9.336
1.778 0.889 12.907
0.000 0.889 24.029
1.778 -0.889 16.682
0.000 2.667 5.561
```

Q: What is the formula in the second record?
A: Pa2Bi2C

Q: What is the density of states at the Fermi level in the first record?
A: 0.0 states/eV per cell

Q: What is the calculated density in the second record?
A: 10.53 g/cm3

Q: Look up the calculated density of the second one.
A: 10.53 g/cm3